Record 1
# PBEsol MnTlCoPd2, relaxed
# magnetization	6.9	μB/f.u.
# E_tot	-5.46	eV per atom
data_MnTlCoPd2
_chemical_formula_sum 'Mn1 Tl1 Co1 Pd2'
_symmetry_space_group_name_H-M 'P 4/m m m'
_symmetry_Int_Tables_number 123
_symmetry_space_group_name_Hall '-P 4 2'
_cell_length_a 4.5478
_cell_length_b 4.5478
_cell_length_c 4.7483
_cell_angle_alpha 90.00
_cell_angle_beta 90.00
_cell_angle_gamma 90.00
loop_
_atom_site_label
_atom_site_type_symbol
_atom_site_fract_x
_atom_site_fract_y
_atom_site_fract_z
Mn1 Mn 0.0000 0.0000 0.0000
Tl1 Tl 0.5000 0.5000 0.0000
Co1 Co 0.5000 0.5000 0.5000
Pd1 Pd 0.0000 0.5000 0.5000

***

Record 2
# PBEsol ScMn2CoPt, relaxed
# magnetization	8.2	μB/f.u.
# E_tot	-6.59	eV per atom
data_ScMn2CoPt
_chemical_formula_sum 'Sc1 Mn2 Co1 Pt1'
_symmetry_space_group_name_H-M 'P 4/m m m'
_symmetry_Int_Tables_number 123
_symmetry_space_group_name_Hall '-P 4 2'
_cell_length_a 4.4008
_cell_length_b 4.4008
_cell_length_c 4.6237
_cell_angle_alpha 90.00
_cell_angle_beta 90.00
_cell_angle_gamma 90.00
loop_
_atom_site_label
_atom_site_type_symbol
_atom_site_fract_x
_atom_site_fract_y
_atom_site_fract_z
Sc1 Sc 0.0000 0.0000 0.0000
Mn1 Mn 0.0000 0.5000 0.0000
Co1 Co 0.5000 0.5000 0.5000
Pt1 Pt 0.0000 0.0000 0.5000

***

Record 3
# PBEsol MnTlCo2Pt, relaxed
# magnetization	0.3	μB/f.u.
# E_tot	-5.71	eV per atom
data_MnTlCo2Pt
_chemical_formula_sum 'Mn1 Tl1 Co2 Pt1'
_symmetry_space_group_name_H-M 'P 4/m m m'
_symmetry_Int_Tables_number 123
_symmetry_space_group_name_Hall '-P 4 2'
_cell_length_a 4.0719
_cell_length_b 4.0719
_cell_length_c 4.8255
_cell_angle_alpha 90.00
_cell_angle_beta 90.00
_cell_angle_gamma 90.00
loop_
_atom_site_label
_atom_site_type_symbol
_atom_site_fract_x
_atom_site_fract_y
_atom_site_fract_z
Mn1 Mn 0.0000 0.0000 0.0000
Tl1 Tl 0.0000 0.0000 0.5000
Co1 Co 0.0000 0.5000 0.0000
Pt1 Pt 0.5000 0.5000 0.5000

***

Record 4
# PBEsol MnCo6Re, relaxed
# magnetization	3.0	μB/f.u.
# E_tot	-8.66	eV per atom
data_MnCo6Re
_chemical_formula_sum 'Mn8 Co48 Re8'
_symmetry_space_group_name_H-M 'C m m m'
_symmetry_Int_Tables_number 65
_symmetry_space_group_name_Hall '-C 2 2'
_cell_length_a 6.9705
_cell_length_b 9.8808
_cell_length_c 9.8813
_cell_angle_alpha 90.00
_cell_angle_beta 90.00
_cell_angle_gamma 90.00
loop_
_atom_site_label
_atom_site_type_symbol
_atom_site_fract_x
_atom_site_fract_y
_atom_site_fract_z
Mn1 Mn 0.0000 0.0000 0.2453
Mn2 Mn 0.0000 0.2529 0.0000
Co1 Co 0.0000 0.0000 0.0000
Co2 Co 0.0000 0.0000 0.5000
Co3 Co 0.0000 0.2499 0.2493
Co4 Co 0.0000 0.5000 0.0000
Co5 Co 0.0000 0.5000 0.5000
Co6 Co 0.2486 0.1251 0.1239
Co7 Co 0.2492 0.1246 0.3748
Re1 Re 0.0000 0.2511 0.5000
Re2 Re 0.0000 0.5000 0.2453

***

Record 5
# PBEsol MnCoRe2, relaxed
# magnetization	0.6	μB/f.u.
# E_tot	-11.07	eV per atom
data_MnCoRe2
_chemical_formula_sum 'Mn1 Co1 Re2'
_symmetry_space_group_name_H-M 'P m m 2'
_symmetry_Int_Tables_number 25
_symmetry_space_group_name_Hall 'P 2 -2'
_cell_length_a 2.6279
_cell_length_b 4.1945
_cell_length_c 4.4854
_cell_angle_alpha 90.00
_cell_angle_beta 90.00
_cell_angle_gamma 90.00
loop_
_atom_site_label
_atom_site_type_symbol
_atom_site_fract_x
_atom_site_fract_y
_atom_site_fract_z
Mn1 Mn 0.0000 0.0000 0.0000
Co1 Co 0.0000 0.5000 0.3352
Re1 Re 0.5000 0.0000 0.4869
Re2 Re 0.5000 0.5000 0.8431

***

Record 6
# PBEsol MnCoRe2, relaxed
# magnetization	0.5	μB/f.u.
# E_tot	-11.03	eV per atom
data_MnCoRe2
_chemical_formula_sum 'Mn1 Co1 Re2'
_symmetry_space_group_name_H-M 'P 4/m m m'
_symmetry_Int_Tables_number 123
_symmetry_space_group_name_Hall '-P 4 2'
_cell_length_a 3.7100
_cell_length_b 3.7100
_cell_length_c 3.6138
_cell_angle_alpha 90.00
_cell_angle_beta 90.00
_cell_angle_gamma 90.00
loop_
_atom_site_label
_atom_site_type_symbol
_atom_site_fract_x
_atom_site_fract_y
_atom_site_fract_z
Mn1 Mn 0.0000 0.0000 0.0000
Co1 Co 0.5000 0.5000 0.0000
Re1 Re 0.0000 0.5000 0.5000

***

Record 7
# PBEsol YMnCo2Re, relaxed
# magnetization	2.5	μB/f.u.
# E_tot	-7.67	eV per atom
data_YMnCo2Re
_chemical_formula_sum 'Y1 Mn1 Co2 Re1'
_symmetry_space_group_name_H-M 'P 4/m m m'
_symmetry_Int_Tables_number 123
_symmetry_space_group_name_Hall '-P 4 2'
_cell_length_a 4.1241
_cell_length_b 4.1241
_cell_length_c 4.6589
_cell_angle_alpha 90.00
_cell_angle_beta 90.00
_cell_angle_gamma 90.00
loop_
_atom_site_label
_atom_site_type_symbol
_atom_site_fract_x
_atom_site_fract_y
_atom_site_fract_z
Y1 Y 0.0000 0.0000 0.0000
Mn1 Mn 0.0000 0.0000 0.5000
Co1 Co 0.0000 0.5000 0.5000
Re1 Re 0.5000 0.5000 0.0000

***

Record 8
# PBEsol Mn2CoRh, relaxed
# magnetization	0.1	μB/f.u.
# E_tot	-8.87	eV per atom
data_Mn2CoRh
_chemical_formula_sum 'Mn4 Co2 Rh2'
_symmetry_space_group_name_H-M 'I -4 m 2'
_symmetry_Int_Tables_number 119
_symmetry_space_group_name_Hall 'I -4 -2'
_cell_length_a 3.5762
_cell_length_b 3.5762
_cell_length_c 7.2047
_cell_angle_alpha 90.00
_cell_angle_beta 90.00
_cell_angle_gamma 90.00
loop_
_atom_site_label
_atom_site_type_symbol
_atom_site_fract_x
_atom_site_fract_y
_atom_site_fract_z
Mn1 Mn 0.0000 0.0000 0.0000
Mn2 Mn 0.0000 0.5000 0.2500
Co1 Co 0.0000 0.5000 0.7500
Rh1 Rh 0.0000 0.0000 0.5000

***

Record 9
# PBEsol Mn2CoRh, relaxed
# magnetization	7.3	μB/f.u.
# E_tot	-8.61	eV per atom
data_Mn2CoRh
_chemical_formula_sum 'Mn4 Co2 Rh2'
_symmetry_space_group_name_H-M 'C m m m'
_symmetry_Int_Tables_number 65
_symmetry_space_group_name_Hall '-C 2 2'
_cell_length_a 2.8396
_cell_length_b 4.2717
_cell_length_c 7.9919
_cell_angle_alpha 90.00
_cell_angle_beta 90.00
_cell_angle_gamma 90.00
loop_
_atom_site_label
_atom_site_type_symbol
_atom_site_fract_x
_atom_site_fract_y
_atom_site_fract_z
Mn1 Mn 0.0000 0.0000 0.2386
Co1 Co 0.0000 0.5000 0.0000
Rh1 Rh 0.0000 0.5000 0.5000

***

Record 10
# PBEsol MnCoRh2, relaxed
# magnetization	0.4	μB/f.u.
# E_tot	-8.45	eV per atom
data_MnCoRh2
_chemical_formula_sum 'Mn2 Co2 Rh4'
_symmetry_space_group_name_H-M 'I 4/m m m'
_symmetry_Int_Tables_number 139
_symmetry_space_group_name_Hall '-I 4 2'
_cell_length_a 3.7123
_cell_length_b 3.7123
_cell_length_c 7.0825
_cell_angle_alpha 90.00
_cell_angle_beta 90.00
_cell_angle_gamma 90.00
loop_
_atom_site_label
_atom_site_type_symbol
_atom_site_fract_x
_atom_site_fract_y
_atom_site_fract_z
Mn1 Mn 0.0000 0.0000 0.0000
Co1 Co 0.0000 0.0000 0.5000
Rh1 Rh 0.0000 0.5000 0.2500

***

Record 11
# PBEsol MnCoRh2, relaxed
# magnetization	6.7	μB/f.u.
# E_tot	-8.29	eV per atom
data_MnCoRh2
_chemical_formula_sum 'Mn4 Co4 Rh8'
_symmetry_space_group_name_H-M 'F m -3 m'
_symmetry_Int_Tables_number 225
_symmetry_space_group_name_Hall '-F 4 2 3'
_cell_length_a 5.8907
_cell_length_b 5.8907
_cell_length_c 5.8907
_cell_angle_alpha 90.00
_cell_angle_beta 90.00
_cell_angle_gamma 90.00
loop_
_atom_site_label
_atom_site_type_symbol
_atom_site_fract_x
_atom_site_fract_y
_atom_site_fract_z
Mn1 Mn 0.0000 0.0000 0.0000
Co1 Co 0.0000 0.0000 0.5000
Rh1 Rh 0.2500 0.2500 0.2500

***

Record 12
# PBEsol MnCoRh2, relaxed
# magnetization	5.9	μB/f.u.
# E_tot	-8.25	eV per atom
data_MnCoRh2
_chemical_formula_sum 'Mn1 Co1 Rh2'
_symmetry_space_group_name_H-M 'P m m m'
_symmetry_Int_Tables_number 47
_symmetry_space_group_name_Hall '-P 2 2'
_cell_length_a 2.7904
_cell_length_b 4.2168
_cell_length_c 4.3689
_cell_angle_alpha 90.00
_cell_angle_beta 90.00
_cell_angle_gamma 90.00
loop_
_atom_site_label
_atom_site_type_symbol
_atom_site_fract_x
_atom_site_fract_y
_atom_site_fract_z
Mn1 Mn 0.0000 0.0000 0.0000
Co1 Co 0.5000 0.0000 0.5000
Rh1 Rh 0.0000 0.5000 0.5000
Rh2 Rh 0.5000 0.5000 0.0000